Entry 1:
Material: HfMo14W
Method: DFT, PBE
State: relaxed

Calculated values
Formation energy = -41 meV/atom
Raw total energy = -10.950 eV/atom

Cell and atoms, written as CIF:
```
data_HfMo14W
_cell_length_a 5.510
_cell_length_b 5.510
_cell_length_c 8.999
_cell_angle_alpha 90.00
_cell_angle_beta 90.00
_cell_angle_gamma 109.51
_space_group_name_H-M_alt 'P 1'
_space_group_IT_number 1
_space_group_name_Hall 'P 1'
loop_
_atom_site_label
_atom_site_fract_x
_atom_site_fract_y
_atom_site_fract_z
Hf1 0.125 0.875 0.500
Mo1 0.125 0.875 0.000
Mo2 0.625 0.375 0.000
Mo3 0.125 0.375 0.500
Mo4 0.125 0.375 0.000
Mo5 0.625 0.875 0.500
Mo6 0.625 0.875 0.000
Mo7 0.378 0.127 0.755
Mo8 0.378 0.127 0.245
Mo9 0.873 0.622 0.755
Mo10 0.873 0.622 0.245
Mo11 0.375 0.625 0.751
Mo12 0.375 0.625 0.249
Mo13 0.875 0.125 0.751
Mo14 0.875 0.125 0.249
W1 0.625 0.375 0.500
```

Entry 2:
Material: HfMo2W
Method: DFT, PBE
State: relaxed

Calculated values
Formation energy = 695 meV/atom
Raw total energy = -10.447 eV/atom

Cell and atoms, written as CIF:
```
data_HfMo2W
_cell_length_a 7.315
_cell_length_b 7.315
_cell_length_c 5.872
_cell_angle_alpha 51.47
_cell_angle_beta 51.47
_cell_angle_gamma 90.00
_space_group_name_H-M_alt 'P 1'
_space_group_IT_number 1
_space_group_name_Hall 'P 1'
loop_
_atom_site_label
_atom_site_fract_x
_atom_site_fract_y
_atom_site_fract_z
Mo1 0.651 0.125 0.250
Mo2 0.099 0.625 0.250
Mo3 0.375 0.349 0.750
Mo4 0.875 0.901 0.750
Hf1 0.500 0.500 0.000
Hf2 0.250 0.750 0.500
W1 0.000 0.000 0.000
W2 0.750 0.250 0.500
```

Entry 3:
Material: HfMoW
Method: DFT, PBE
State: relaxed

Calculated values
Formation energy = -86 meV/atom
Raw total energy = -11.332 eV/atom

Cell and atoms, written as CIF:
```
data_HfMoW
_cell_length_a 3.231
_cell_length_b 3.231
_cell_length_c 5.533
_cell_angle_alpha 106.98
_cell_angle_beta 106.98
_cell_angle_gamma 90.00
_space_group_name_H-M_alt 'P 1'
_space_group_IT_number 1
_space_group_name_Hall 'P 1'
loop_
_atom_site_label
_atom_site_fract_x
_atom_site_fract_y
_atom_site_fract_z
Mo1 0.678 0.678 0.356
Hf1 0.001 0.001 0.002
W1 0.321 0.321 0.642
```

Entry 4:
Material: HfMo2W2
Method: DFT, PBE
State: relaxed

Calculated values
Formation energy = -94 meV/atom
Raw total energy = -11.599 eV/atom

Cell and atoms, written as CIF:
```
data_HfMo2W2
_cell_length_a 4.535
_cell_length_b 4.531
_cell_length_c 5.394
_cell_angle_alpha 65.14
_cell_angle_beta 65.14
_cell_angle_gamma 59.97
_space_group_name_H-M_alt 'P 1'
_space_group_IT_number 1
_space_group_name_Hall 'P 1'
loop_
_atom_site_label
_atom_site_fract_x
_atom_site_fract_y
_atom_site_fract_z
Hf1 0.500 0.500 0.000
Mo1 0.096 0.096 0.211
Mo2 0.904 0.904 0.789
W1 0.705 0.705 0.384
W2 0.295 0.295 0.616
```

Entry 5:
Material: Hf2MoW
Method: DFT, PBE
State: relaxed

Calculated values
Formation energy = 769 meV/atom
Raw total energy = -10.154 eV/atom

Cell and atoms, written as CIF:
```
data_Hf2MoW
_cell_length_a 7.434
_cell_length_b 7.434
_cell_length_c 5.975
_cell_angle_alpha 51.53
_cell_angle_beta 51.53
_cell_angle_gamma 90.00
_space_group_name_H-M_alt 'P 1'
_space_group_IT_number 1
_space_group_name_Hall 'P 1'
loop_
_atom_site_label
_atom_site_fract_x
_atom_site_fract_y
_atom_site_fract_z
Mo1 0.500 0.500 0.000
Mo2 0.250 0.750 0.500
Hf1 0.621 0.125 0.250
Hf2 0.129 0.625 0.250
Hf3 0.375 0.379 0.750
Hf4 0.875 0.871 0.750
W1 0.000 0.000 0.000
W2 0.750 0.250 0.500
```

Entry 6:
Material: HfMoW2
Method: DFT, PBE
State: relaxed

Calculated values
Formation energy = 52 meV/atom
Raw total energy = -11.621 eV/atom

Cell and atoms, written as CIF:
```
data_HfMoW2
_cell_length_a 4.579
_cell_length_b 4.579
_cell_length_c 4.579
_cell_angle_alpha 60.00
_cell_angle_beta 60.00
_cell_angle_gamma 60.00
_space_group_name_H-M_alt 'P 1'
_space_group_IT_number 1
_space_group_name_Hall 'P 1'
loop_
_atom_site_label
_atom_site_fract_x
_atom_site_fract_y
_atom_site_fract_z
Mo1 0.000 0.000 0.000
Hf1 0.500 0.500 0.500
W1 0.250 0.250 0.250
W2 0.750 0.750 0.750
```